Compound: RbTmMgS3
Source: the Alexandria database
Functional: PBE-GGA
Structure: optimized geometry

a = 4.0855 Å, b = 8.9438 Å, c = 9.9019 Å
α = 109.43°, β = 90.00°, γ = 90.00°
Last column: nearest neighbours and their distance in Å.
Positions (direct):
Rb: 0.7500 0.7870 0.7712  5 S 3.37-3.52
Rb: 0.2500 0.2130 0.2288  5 S 3.37-3.52
Tm: 0.2500 0.6659 0.1323  5 S 2.64-2.75
Tm: 0.7500 0.3341 0.8677  5 S 2.64-2.75
Mg: 0.2500 0.0855 0.6117  4 S 2.39-2.51
Mg: 0.7500 0.9145 0.3883  4 S 2.39-2.51
S: 0.2500 0.8022 0.4502  3 Mg 2.44-2.51
S: 0.7500 0.8739 0.1372  1 Mg 2.39
S: 0.7500 0.4715 0.1488  3 Tm 2.64-2.72
S: 0.7500 0.1978 0.5498  3 Mg 2.44-2.51
S: 0.2500 0.5285 0.8512  3 Tm 2.64-2.72
S: 0.2500 0.1261 0.8628  1 Mg 2.39

Calculated values
The value obtained for the electronic total energy is -4.906 eV per atom. The formation energy from raw total energies comes out at -10.022 eV per formula unit. For the spin magnetization, the calculation gives 0.00 μB/f.u. The density of states at the Fermi level comes out at 0.00 states/eV per atom. As for the symmetry: P2_1/m.

Compound: TmPaCoNi
Source: the Alexandria database
Functional: PBE-GGA
Structure: optimized geometry

a = 3.5704 Å, b = 3.8229 Å, c = 5.8922 Å
α = 90.00°, β = 107.64°, γ = 90.00°
Last column: nearest neighbours and their distance in Å.
Positions (direct):
Tm: 0.1489 0.0000 0.2977  4 Ni 2.77, 1 Co 2.85
Pa: 0.8808 0.5000 0.7616  4 Co 2.63, 2 Ni 2.75
Co: 0.4028 0.0000 0.8055  4 Pa 2.63, 2 Ni 2.66, 1 Tm 2.85
Ni: 0.5675 0.5000 0.1351  2 Co 2.66, 2 Pa 2.75, 4 Tm 2.77

Calculated values
The value obtained for the energy above the most stable polymorph in this dataset is 0.0 meV/atom. The value obtained for the electronic total energy is -7.159 eV per atom. For the spin magnetization, the calculation gives 0.00 μB/f.u. The density of states at the Fermi level comes out at 0.84 states/eV per atom. As for the symmetry: Amm2.

Compound: AcNpSe2O
Source: the Alexandria database
Functional: PBE-GGA
Structure: optimized geometry

a = 4.1740 Å, b = 4.1740 Å, c = 14.6114 Å
α = 90.00°, β = 90.00°, γ = 90.00°
Last column: nearest neighbours and their distance in Å.
Positions (direct):
Ac: 0.5000 0.0000 0.5899  4 O 2.47
Ac: 0.0000 0.5000 0.4101  4 O 2.47
Np: 0.5000 0.0000 0.1091  6 Se 2.70-2.96
Np: 0.0000 0.5000 0.8909  6 Se 2.70-2.96
Se: 0.0000 0.5000 0.7065  1 Np 2.70
Se: 0.0000 0.5000 0.0938  5 Np 2.96
Se: 0.5000 0.0000 0.9062  5 Np 2.96
Se: 0.5000 0.0000 0.2935  1 Np 2.70
O: 0.0000 0.0000 0.5000  4 Ac 2.47
O: 0.5000 0.5000 0.5000  4 Ac 2.47

Calculated values
The value obtained for the electronic total energy is -7.882 eV per atom. The formation energy from raw total energies comes out at -10.434 eV per formula unit. For the spin magnetization, the calculation gives 3.97 μB/f.u. The density of states at the Fermi level comes out at 1.70 states/eV per atom. As for the symmetry: P4/nmm.

Compound: Ca4GeCl5
Source: the Alexandria database
Functional: PBE-GGA
Structure: optimized geometry

a = 3.9601 Å, b = 8.6323 Å, c = 9.2018 Å
α = 105.11°, β = 102.43°, γ = 90.00°
Last column: nearest neighbours and their distance in Å.
Positions (direct):
Ca: 0.3309 0.8901 0.6618  5 Cl 2.74-2.86, 1 Ge 2.93
Ca: 0.9965 0.7428 0.9929  4 Cl 2.83-3.03, 2 Ge 2.96
Ca: 0.6691 0.1099 0.3382  5 Cl 2.74-2.86, 1 Ge 2.93
Ca: 0.0035 0.2572 0.0071  4 Cl 2.83-3.03, 2 Ge 2.96
Ge: 0.5000 0.0000 0.0000  6 Ca 2.93-2.96
Cl: 0.8332 0.6728 0.6665  3 Ca 2.74-2.83
Cl: 0.8293 0.1282 0.6585  4 Ca 2.84-3.03
Cl: 0.1707 0.8718 0.3415  4 Ca 2.84-3.03
Cl: 0.5000 0.5000 0.0000  4 Ca 2.90
Cl: 0.1668 0.3272 0.3335  3 Ca 2.74-2.83

Calculated values
The value obtained for the electronic total energy is -4.078 eV per atom. The formation energy from raw total energies comes out at -18.926 eV per formula unit. For the spin magnetization, the calculation gives 0.31 μB/f.u. The density of states at the Fermi level comes out at 0.31 states/eV per atom. As for the symmetry: C2/m.

Compound: Ce3Zn4Au4
Source: the Alexandria database
Functional: PBE-GGA
Structure: optimized geometry

a = 4.3646 Å, b = 7.3253 Å, c = 8.4419 Å
α = 115.71°, β = 104.98°, γ = 90.00°
Last column: nearest neighbours and their distance in Å.
Positions (direct):
Ce: 0.1291 0.1291 0.2581  6 Au 3.12-3.22, 6 Zn 3.21
Ce: 0.8709 0.8709 0.7419  6 Au 3.12-3.22, 6 Zn 3.21
Ce: 0.0000 0.5000 0.0000  6 Au 3.11-3.18
Zn: 0.3276 0.1376 0.6553  4 Au 2.64-2.78, 1 Zn 2.78
Zn: 0.6724 0.4823 0.3447  4 Au 2.64-2.78, 1 Zn 2.78
Zn: 0.6724 0.8624 0.3447  4 Au 2.64-2.78, 1 Zn 2.78
Zn: 0.3276 0.5177 0.6553  4 Au 2.64-2.78, 1 Zn 2.78
Au: 0.2180 0.7180 0.4360  6 Zn 2.67-2.78
Au: 0.7820 0.2820 0.5640  6 Zn 2.67-2.78
Au: 0.5000 0.8032 0.0000  2 Zn 2.64, 1 Au 2.88
Au: 0.5000 0.1968 0.0000  2 Zn 2.64, 1 Au 2.88

Calculated values
The value obtained for the energy above the most stable polymorph in this dataset is 0.0 meV/atom. The value obtained for the electronic total energy is -3.808 eV per atom. For the spin magnetization, the calculation gives 2.78 μB/f.u. The density of states at the Fermi level comes out at 1.81 states/eV per atom. As for the symmetry: Immm.

What did the third record say?
Compound: AcNpSe2O
Source: the Alexandria database
Functional: PBE-GGA
Structure: optimized geometry

a = 4.1740 Å, b = 4.1740 Å, c = 14.6114 Å
α = 90.00°, β = 90.00°, γ = 90.00°
Last column: nearest neighbours and their distance in Å.
Positions (direct):
Ac: 0.5000 0.0000 0.5899  4 O 2.47
Ac: 0.0000 0.5000 0.4101  4 O 2.47
Np: 0.5000 0.0000 0.1091  6 Se 2.70-2.96
Np: 0.0000 0.5000 0.8909  6 Se 2.70-2.96
Se: 0.0000 0.5000 0.7065  1 Np 2.70
Se: 0.0000 0.5000 0.0938  5 Np 2.96
Se: 0.5000 0.0000 0.9062  5 Np 2.96
Se: 0.5000 0.0000 0.2935  1 Np 2.70
O: 0.0000 0.0000 0.5000  4 Ac 2.47
O: 0.5000 0.5000 0.5000  4 Ac 2.47

Calculated values
The value obtained for the electronic total energy is -7.882 eV per atom. The formation energy from raw total energies comes out at -10.434 eV per formula unit. For the spin magnetization, the calculation gives 3.97 μB/f.u. The density of states at the Fermi level comes out at 1.70 states/eV per atom. As for the symmetry: P4/nmm.

Q: Which formula does entry 3 have?
A: AcNpSe2O